# 1
First-principles (PBE) data for a relaxed Sc2Cd2Ga crystal, as listed in the Alexandria database.

Fermi-level density of states	3.592	states/eV/f.u.
space-group type	No. 127
total magnetization	0.000	μB per formula unit
DFT total energy	-3.70	eV/atom

abc: 7.1023 7.1023 4.3359
angles: 90.00 90.00 90.00
With the nearest neighbours (Å) after each atom.
Sites, in units of the cell vectors:
Sc1 0.1662 0.6662 0.5000  6 Cd 2.93-3.06
Sc2 0.6662 0.8338 0.5000  6 Cd 2.93-3.06
Sc3 0.8338 0.3338 0.5000  6 Cd 2.93-3.06
Sc4 0.3338 0.1662 0.5000  6 Cd 2.93-3.06
Ga1 0.0000 0.0000 0.0000  4 Cd 2.75
Ga2 0.5000 0.5000 0.0000  4 Cd 2.75
Cd1 0.3625 0.8625 0.0000  2 Ga 2.75, 1 Cd 2.76, 6 Sc 2.93-3.06
Cd2 0.8625 0.6375 0.0000  2 Ga 2.75, 1 Cd 2.76, 6 Sc 2.93-3.06
Cd3 0.6375 0.1375 0.0000  2 Ga 2.75, 1 Cd 2.76, 6 Sc 2.93-3.06
Cd4 0.1375 0.3625 0.0000  2 Ga 2.75, 1 Cd 2.76, 6 Sc 2.93-3.06

# 2
First-principles (PBE) data for a relaxed Ti2TlO crystal, as listed in the Alexandria database.

Fermi-level density of states	2.999	states/eV/f.u.
space-group type	No. 141
total magnetization	0.000	μB per formula unit
raw formation energy	-0.92	eV per atom

abc: 5.2198 5.2198 6.8390
angles: 67.57 67.57 90.00
With the nearest neighbours (Å) after each atom.
Sites, in units of the cell vectors:
Tl1 0.0000 0.0000 0.0000  8 Ti 3.25
Tl2 0.7500 0.2500 0.5000  8 Ti 3.25
O1 0.5000 0.5000 0.0000  4 Ti 1.94
O2 0.2500 0.7500 0.5000  4 Ti 1.94
Ti1 0.3752 0.1250 0.2500  2 O 1.94
Ti2 0.3748 0.6250 0.2500  2 O 1.94
Ti3 0.3750 0.6248 0.7500  2 O 1.94
Ti4 0.8750 0.6252 0.7500  2 O 1.94

# 3
First-principles (PBE) data for a relaxed Cu2Ni2Sn crystal, as listed in the Alexandria database.

Fermi-level density of states	3.559	states/eV/f.u.
space-group type	No. 127
total magnetization	0.000	μB per formula unit
DFT total energy	-4.68	eV/atom

abc: 6.4568 6.4568 3.3497
angles: 90.00 90.00 90.00
With the nearest neighbours (Å) after each atom.
Sites, in units of the cell vectors:
Ni1 0.3676 0.8676 0.0000  1 Ni 2.42, 6 Cu 2.51-2.56, 2 Sn 2.52
Ni2 0.8676 0.6324 0.0000  1 Ni 2.42, 6 Cu 2.51-2.56, 2 Sn 2.52
Ni3 0.6324 0.1324 0.0000  1 Ni 2.42, 6 Cu 2.51-2.56, 2 Sn 2.52
Ni4 0.1324 0.3676 0.0000  1 Ni 2.42, 6 Cu 2.51-2.56, 2 Sn 2.52
Sn1 0.0000 0.0000 0.0000  4 Ni 2.52
Sn2 0.5000 0.5000 0.0000  4 Ni 2.52
Cu1 0.1563 0.6563 0.5000  6 Ni 2.51-2.56
Cu2 0.6563 0.8437 0.5000  6 Ni 2.51-2.56
Cu3 0.8437 0.3437 0.5000  6 Ni 2.51-2.56
Cu4 0.3437 0.1563 0.5000  6 Ni 2.51-2.56

# 4
First-principles (PBE) data for a relaxed BiRhF6 crystal, as listed in the Alexandria database.

space-group type	No. 148
total magnetization	0.000	μB per formula unit
raw formation energy	-1.97	eV per atom

abc: 5.3999 5.4006 5.8851
angles: 62.68 62.66 59.98
With the nearest neighbours (Å) after each atom.
Sites, in units of the cell vectors:
Bi1 0.5000 0.5000 0.5000  6 F 2.29
Rh1 0.0000 0.0000 0.0000  6 F 2.01
F1 0.0845 0.3774 0.7636  1 Rh 2.01
F2 0.7748 0.0847 0.7633  1 Rh 2.01
F3 0.6223 0.2253 0.2368  1 Rh 2.01
F4 0.2252 0.9153 0.2367  1 Rh 2.01
F5 0.9155 0.6226 0.2364  1 Rh 2.01
F6 0.3777 0.7747 0.7632  1 Rh 2.01

Please write out number 4 again, unchanged.
First-principles (PBE) data for a relaxed BiRhF6 crystal, as listed in the Alexandria database.

space-group type	No. 148
total magnetization	0.000	μB per formula unit
raw formation energy	-1.97	eV per atom

abc: 5.3999 5.4006 5.8851
angles: 62.68 62.66 59.98
With the nearest neighbours (Å) after each atom.
Sites, in units of the cell vectors:
Bi1 0.5000 0.5000 0.5000  6 F 2.29
Rh1 0.0000 0.0000 0.0000  6 F 2.01
F1 0.0845 0.3774 0.7636  1 Rh 2.01
F2 0.7748 0.0847 0.7633  1 Rh 2.01
F3 0.6223 0.2253 0.2368  1 Rh 2.01
F4 0.2252 0.9153 0.2367  1 Rh 2.01
F5 0.9155 0.6226 0.2364  1 Rh 2.01
F6 0.3777 0.7747 0.7632  1 Rh 2.01

Copy entry 4 word for word.
First-principles (PBE) data for a relaxed BiRhF6 crystal, as listed in the Alexandria database.

space-group type	No. 148
total magnetization	0.000	μB per formula unit
raw formation energy	-1.97	eV per atom

abc: 5.3999 5.4006 5.8851
angles: 62.68 62.66 59.98
With the nearest neighbours (Å) after each atom.
Sites, in units of the cell vectors:
Bi1 0.5000 0.5000 0.5000  6 F 2.29
Rh1 0.0000 0.0000 0.0000  6 F 2.01
F1 0.0845 0.3774 0.7636  1 Rh 2.01
F2 0.7748 0.0847 0.7633  1 Rh 2.01
F3 0.6223 0.2253 0.2368  1 Rh 2.01
F4 0.2252 0.9153 0.2367  1 Rh 2.01
F5 0.9155 0.6226 0.2364  1 Rh 2.01
F6 0.3777 0.7747 0.7632  1 Rh 2.01